(1)
## YCdMo2 (PBE)

Data for an optimized crystal structure of YCdMo2.

Computed properties:
As for the total DFT energy (no corrections): -28.597 eV per formula unit.

Cell lengths 3.300, 3.300, 7.484 Å; angles 90.00, 90.00, 90.00 degrees
Fractional positions:
Cd  0.500  0.500  0.786
Mo  0.000  0.000  0.035
Mo  0.500  0.500  0.204
Y  0.000  0.000  0.475



(2)
## Y2CdMo (PBE)

Data for an optimized crystal structure of Y2CdMo.

Computed properties:
As for the total DFT energy (no corrections): -23.790 eV per formula unit.

Cell lengths 5.812, 5.812, 5.812 Å; angles 139.54, 131.26, 65.14 degrees
Fractional positions:
Cd  0.482  0.482  0.000
Mo  0.263  0.763  0.500
Y  0.013  0.013  0.000
Y  0.742  0.242  0.500



(3)
## YCdMo2 (PBE)

Data for an optimized crystal structure of YCdMo2.

Computed properties:
As for the total DFT energy (no corrections): -26.692 eV per formula unit.

Cell lengths 2.791, 4.690, 6.096 Å; angles 90.00, 90.00, 90.00 degrees
Fractional positions:
Cd  0.500  0.500  0.750
Mo  0.000  0.000  0.962
Mo  0.000  0.000  0.538
Y  0.500  0.500  0.250



(4)
## YCdMo (PBE)

Data for an optimized crystal structure of YCdMo.

Computed properties:
As for the total DFT energy (no corrections): -17.198 eV per formula unit. The polymorph energy (0 for the lowest one) is 0.000 eV per atom.

Cell lengths 7.340, 7.308, 3.027 Å; angles 78.66, 77.49, 23.85 degrees
Fractional positions:
Cd  0.989  0.989  0.011
Mo  0.337  0.337  0.663
Y  0.674  0.674  0.326



(5)
## Y2Cd2Mo (PBE)

Data for an optimized crystal structure of Y2Cd2Mo.

Computed properties:
As for the total DFT energy (no corrections): -21.551 eV per formula unit. The polymorph energy (0 for the lowest one) is 0.518 eV per atom.

Cell lengths 4.426, 4.426, 7.617 Å; angles 73.11, 73.11, 90.00 degrees
Fractional positions:
Y  0.750  0.250  0.500
Y  0.250  0.750  0.500
Mo  0.000  0.000  0.000
Cd  0.405  0.405  0.189
Cd  0.595  0.595  0.811



(6)
## Y2CdMo (PBE)

Data for an optimized crystal structure of Y2CdMo.

Computed properties:
As for the total DFT energy (no corrections): -23.534 eV per formula unit.

Cell lengths 9.633, 9.633, 9.633 Å; angles 21.09, 21.09, 21.09 degrees
Fractional positions:
Cd  0.250  0.250  0.250
Mo  0.750  0.750  0.750
Y  0.009  0.009  0.009
Y  0.491  0.491  0.491



Calculated formation energy (computed, eV per formula unit): 0.4 0.9 2.3 1.0 4.0 1.1
Total moment (computed, μB per formula unit): 0.00 0.00 0.00 0.00 4.05 0.00